## Ba4IrCl2 (PBE)

Data for a relaxed Ba4IrCl2 crystal.

- Relative energy among the computed polymorphs: 0.1236 eV/atom
- Crystal system: tetragonal

Cell: 8.9679 8.9679 8.9679 Å, 140.08 140.08 57.73°
Fractional coordinates of all 7 atoms:
1 Ba 0.0000 0.5000 0.5000
2 Ba 0.2013 0.2013 0.0000
3 Ba 0.5000 0.0000 0.5000
4 Ba 0.7987 0.7987 0.0000
5 Ir 0.0000 0.0000 0.0000
6 Cl 0.3962 0.3962 0.0000
7 Cl 0.6038 0.6038 0.0000



## Ba8IrCl2 (PBE)

Data for a relaxed Ba8IrCl2 crystal.

- Crystal system: monoclinic

Cell: 9.2613 9.2613 8.0846 Å, 105.17 105.17 58.41°
Fractional coordinates of all 11 atoms:
1 Ba 0.1197 0.1197 0.7649
2 Ba 0.1246 0.6467 0.7714
3 Ba 0.3533 0.8754 0.2286
4 Ba 0.3754 0.3754 0.2568
5 Ba 0.6246 0.6246 0.7432
6 Ba 0.6467 0.1246 0.7714
7 Ba 0.8754 0.3533 0.2286
8 Ba 0.8803 0.8803 0.2351
9 Ir 0.0000 0.0000 0.0000
10 Cl 0.2490 0.2490 0.4879
11 Cl 0.7510 0.7510 0.5121



## Ba8Ir2Cl (PBE)

Data for a relaxed Ba8Ir2Cl crystal.

- Crystal system: monoclinic

Cell: 9.0792 9.0792 7.7092 Å, 91.68 91.68 61.36°
Fractional coordinates of all 11 atoms:
1 Ba 0.1130 0.5964 0.3363
2 Ba 0.1202 0.1202 0.1914
3 Ba 0.3673 0.3673 0.8061
4 Ba 0.4036 0.8870 0.6637
5 Ba 0.5964 0.1130 0.3363
6 Ba 0.6327 0.6327 0.1939
7 Ba 0.8798 0.8798 0.8086
8 Ba 0.8870 0.4036 0.6637
9 Ir 0.2408 0.2408 0.4994
10 Ir 0.7592 0.7592 0.5006
11 Cl 0.5000 0.5000 0.5000



## Ba2Ir2Cl (PBE)

Data for a relaxed Ba2Ir2Cl crystal.

- Crystal system: tetragonal

Cell: 9.7477 9.7477 9.7477 Å, 157.29 157.29 32.33°
Fractional coordinates of all 5 atoms:
1 Ba 0.1171 0.1171 0.0000
2 Ba 0.8829 0.8829 0.0000
3 Ir 0.2500 0.7500 0.5000
4 Ir 0.7500 0.2500 0.5000
5 Cl 0.5000 0.5000 0.0000



## BaIr4Cl (PBE)

Data for a relaxed BaIr4Cl crystal.

- Crystal system: cubic

Cell: 5.5155 5.5155 5.5155 Å, 60.00 60.00 60.00°
Fractional coordinates of all 6 atoms:
1 Ba 0.0000 0.0000 0.0000
2 Ir 0.3756 0.3756 0.3756
3 Ir 0.3756 0.3756 0.8734
4 Ir 0.3756 0.8734 0.3756
5 Ir 0.8734 0.3756 0.3756
6 Cl 0.7500 0.7500 0.7500



## Ba2LiIrCl (PBE)

Data for a relaxed Ba2LiIrCl crystal.

- Crystal system: tetragonal

Cell: 5.9654 5.9654 4.2800 Å, 90.00 90.00 90.00°
Fractional coordinates of all 5 atoms:
1 Ba 0.0000 0.5000 0.0000
2 Ba 0.5000 0.0000 0.0000
3 Li 0.0000 0.0000 0.0000
4 Ir 0.0000 0.0000 0.5000
5 Cl 0.5000 0.5000 0.5000



## Ba6LiNb2IrCl2O12 (PBE)

Data for a relaxed Ba6LiNb2IrCl2O12 crystal.

- Relative energy among the computed polymorphs: 0.0142 eV/atom
- Crystal system: trigonal

Cell: 5.9618 5.9618 15.5543 Å, 90.00 90.00 120.00°
Fractional coordinates of all 24 atoms:
1 Ba 0.0000 0.0000 0.0000
2 Ba 0.0000 0.0000 0.2489
3 Ba 0.0000 0.0000 0.5944
4 Ba 0.3333 0.6667 0.1310
5 Ba 0.3333 0.6667 0.4201
6 Ba 0.3333 0.6667 0.8536
7 Li 0.0000 0.0000 0.4229
8 Nb 0.6667 0.3333 0.0306
9 Nb 0.6667 0.3333 0.3964
10 Ir 0.6667 0.3333 0.2140
11 Cl 0.0000 0.0000 0.7952
12 Cl 0.3333 0.6667 0.6381
13 O 0.3386 0.1693 0.4603
14 O 0.3563 0.1782 0.1260
15 O 0.5031 0.0062 0.9723
16 O 0.5031 0.4969 0.9723
17 O 0.5153 0.0305 0.3015
18 O 0.5153 0.4847 0.3015
19 O 0.8218 0.1782 0.1260
20 O 0.8218 0.6437 0.1260
21 O 0.8307 0.1693 0.4603
22 O 0.8307 0.6614 0.4603
23 O 0.9695 0.4847 0.3015
24 O 0.9938 0.4969 0.9723



## Ba6LiNb2IrCl2O12 (PBE)

Data for a relaxed Ba6LiNb2IrCl2O12 crystal.

- Relative energy among the computed polymorphs: 0.0181 eV/atom
- Crystal system: trigonal

Cell: 5.9542 5.9542 15.5329 Å, 90.00 90.00 120.00°
Fractional coordinates of all 24 atoms:
1 Ba 0.0000 0.0000 0.0000
2 Ba 0.0000 0.0000 0.2560
3 Ba 0.0000 0.0000 0.5983
4 Ba 0.6667 0.3333 0.1533
5 Ba 0.6667 0.3333 0.4303
6 Ba 0.6667 0.3333 0.7294
7 Li 0.0000 0.0000 0.4287
8 Nb 0.3333 0.6667 0.1829
9 Nb 0.3333 0.6667 0.5495
10 Ir 0.3333 0.6667 0.3659
11 Cl 0.0000 0.0000 0.7940
12 Cl 0.6667 0.3333 0.9451
13 O 0.0110 0.5055 0.6113
14 O 0.0278 0.5139 0.2779
15 O 0.1692 0.3383 0.1225
16 O 0.1692 0.8308 0.1225
17 O 0.1756 0.3512 0.4537
18 O 0.1756 0.8244 0.4537
19 O 0.4861 0.5139 0.2779
20 O 0.4861 0.9722 0.2779
21 O 0.4945 0.5055 0.6113
22 O 0.4945 0.9890 0.6113
23 O 0.6488 0.8244 0.4537
24 O 0.6617 0.8308 0.1225



no.,total magnetization (μB/atom),uncorrected formation energy (kJ/mol of formula units),calculated density (Mg/m³)
1,0.091,-666,4.58
2,0.023,-747,4.01
3,0.000,-454,4.52
4,0.000,-282,8.36
5,0.746,321,13.18
6,0.000,-164,5.55
7,0.000,-5631,5.10
8,0.000,-5622,5.12